A relaxed structure of Rb2TaBr4F2, computed with GGA-PBE.

Results
The calculation puts the uncorrected energy at -41.20 eV/cell. The calculation puts the energy relative to the elements, uncorrected at -16.98 eV per formula unit. The calculation puts the total magnetization at 1.0 μB/f.u.

```
9
Lattice="6.031 -0.051 -0.035 1.292 7.017 0.045 1.292 2.619 6.511" Properties=species:S:1:pos:R:3 pbc="T T T"
Br 2.874 5.005 0.964
F 1.843 1.242 0.845
F 6.772 8.343 5.676
Br 5.740 6.850 2.220
Br 5.740 4.580 5.557
Rb 5.781 3.134 2.132
Ta 3.015 -0.025 -0.017
Rb 2.834 6.451 4.389
Br 2.874 2.735 4.302
```